# 1
Here is an optimized crystal structure of CaHg2O2 from Alexandria. Energies are from PBE-GGA.

Properties
* excess energy over the best structure of this formula in the dataset: 0.0 meV/atom
* volume: 192 Å³/cell
* E: -3.363 eV per atom
* formation energy without anion corrections: -859 meV per atom

a = 6.639 Å, b = 6.639 Å, c = 4.358 Å
α = 90.00°, β = 90.00°, γ = 90.00°
Element x y z (fractional)
Ca 0.000 0.000 0.000
Ca 0.500 0.500 0.000
Hg 0.149 0.649 0.500
Hg 0.649 0.851 0.500
Hg 0.851 0.351 0.500
Hg 0.351 0.149 0.500
O 0.241 0.741 0.000
O 0.741 0.759 0.000
O 0.759 0.259 0.000
O 0.259 0.241 0.000

=====

# 2
Here is an optimized crystal structure of CaHgO2 from Alexandria. Energies are from PBE-GGA.

Properties
* volume: 144 Å³/cell
* E: -4.799 eV per atom
* formation energy without anion corrections: -1744 meV per atom

a = 3.640 Å, b = 3.640 Å, c = 12.587 Å
α = 90.00°, β = 90.00°, γ = 120.00°
Element x y z (fractional)
Ca 0.000 0.000 0.500
Ca 0.000 0.000 0.000
Hg 0.667 0.333 0.750
Hg 0.333 0.667 0.250
O 0.667 0.333 0.909
O 0.333 0.667 0.409
O 0.333 0.667 0.091
O 0.667 0.333 0.591